# PBE Ba2SrSi, relaxed
data_Ba2SrSi
_symmetry_space_group_name_H-M 'P 1'
_symmetry_Int_Tables_number 1
_symmetry_space_group_name_Hall 'P 1'
_cell_length_a 9.306
_cell_length_b 9.306
_cell_length_c 9.306
_cell_angle_alpha 155.29
_cell_angle_beta 146.91
_cell_angle_gamma 41.73
loop_
_atom_site_label
_atom_site_type_symbol
_atom_site_fract_x
_atom_site_fract_y
_atom_site_fract_z
Ba1 Ba 0.155 0.155 0.000
Ba2 Ba 0.845 0.845 0.000
Sr1 Sr 0.500 0.000 0.500
Si1 Si 0.000 0.500 0.500
# **Space group**: Immm
# **Uncorrected formation energy**: -0.11 eV per atom

# PBE PuPaB, relaxed
data_PuPaB
_symmetry_space_group_name_H-M 'P 1'
_symmetry_Int_Tables_number 1
_symmetry_space_group_name_Hall 'P 1'
_cell_length_a 3.956
_cell_length_b 3.956
_cell_length_c 4.093
_cell_angle_alpha 90.00
_cell_angle_beta 90.00
_cell_angle_gamma 120.00
loop_
_atom_site_label
_atom_site_type_symbol
_atom_site_fract_x
_atom_site_fract_y
_atom_site_fract_z
Pu1 Pu 0.000 0.000 0.000
Pa1 Pa 0.333 0.667 0.417
B1 B 0.667 0.333 0.729
# **Space group**: P3m1
# **Formation energy from the elements**: 0.097 eV per atom